Computed, not measured: Be2PAu at its PBEsol-relaxed geometry at the SCAN level of DFT.

Lattice parameters (Å, degrees): 3.4675 3.7060 4.7185 90.00 111.42 90.00
Last column: nearest neighbours and their distance in Å.
Sites, in units of the cell vectors:
Be: 0.6071 0.5000 0.8387  2 P 2.16, 2 Au 2.36
Be: 0.1220 0.0000 0.8696  2 P 2.13, 2 Au 2.36
P: 0.4822 0.0000 0.5878  4 Be 2.13-2.16
Au: 0.2887 0.5000 0.2039  4 Be 2.36, 2 P 2.51

Computed properties:
Formation energy ... -0.2673 eV per atom

=====

Computed, not measured: KBaTe2 at its PBEsol-relaxed geometry at the SCAN level of DFT.

Lattice parameters (Å, degrees): 5.7911 5.7911 5.7911 60.00 60.00 60.00
Last column: nearest neighbours and their distance in Å.
Sites, in units of the cell vectors:
Te: 0.7500 0.7500 0.7500  4 Te 3.55, 4 Ba 3.55
K: 0.2500 0.2500 0.2500  4 Ba 3.55, 4 Te 3.55
Te: 0.0000 0.0000 0.0000  4 K 3.55, 4 Te 3.55
Ba: 0.5000 0.5000 0.5000  4 K 3.55, 4 Te 3.55

Computed properties:
Formation energy from raw total energies ... -0.8389 eV/atom

=====

Computed, not measured: Al3CoSn at its PBEsol-relaxed geometry at the SCAN level of DFT.

Lattice parameters (Å, degrees): 4.5166 4.5166 4.5166 90.00 90.00 90.00
Last column: nearest neighbours and their distance in Å.
Sites, in units of the cell vectors:
Al: 0.0000 0.0000 0.5000  2 Co 2.26
Al: 0.5000 0.0000 0.0000  2 Co 2.26
Sn: 0.5000 0.5000 0.5000  12 Al 3.19
Al: 0.0000 0.5000 0.0000  2 Co 2.26
Co: 0.0000 0.0000 0.0000  6 Al 2.26

Computed properties:
Formation energy ... 0.0680 eV per atom

=====

Computed, not measured: BaLaY3 at its PBEsol-relaxed geometry at the SCAN level of DFT.

Lattice parameters (Å, degrees): 5.7451 5.7451 5.7451 90.00 90.00 90.00
Last column: nearest neighbours and their distance in Å.
Sites, in units of the cell vectors:
Y: 0.0000 0.0000 0.5000  2 La 2.87
Y: 0.5000 0.0000 0.0000  2 La 2.87
La: 0.0000 0.0000 0.0000  6 Y 2.87
Ba: 0.5000 0.5000 0.5000  12 Y 4.06
Y: 0.0000 0.5000 0.0000  2 La 2.87

Computed properties:
Relative energy among the computed polymorphs ... 0.0000 eV/atom
Formation energy ... 0.4911 eV per atom

=====

Computed, not measured: FeSn3Pd at its PBEsol-relaxed geometry at the SCAN level of DFT.

Lattice parameters (Å, degrees): 4.7725 4.7725 4.7725 90.00 90.00 90.00
Last column: nearest neighbours and their distance in Å.
Sites, in units of the cell vectors:
Fe: 0.0000 0.0000 0.0000  6 Sn 2.39
Sn: 0.5000 0.0000 0.0000  2 Fe 2.39
Sn: 0.0000 0.5000 0.0000  2 Fe 2.39
Pd: 0.5000 0.5000 0.5000  12 Sn 3.37
Sn: 0.0000 0.0000 0.5000  2 Fe 2.39

Computed properties:
Formation energy ... 0.3378 eV per atom

=====

Computed, not measured: Sr2MgZn at its PBEsol-relaxed geometry at the SCAN level of DFT.

Lattice parameters (Å, degrees): 4.7191 4.7191 8.1118 73.09 73.09 60.00
Last column: nearest neighbours and their distance in Å.
Sites, in units of the cell vectors:
Mg: 0.2082 0.2082 0.3755  3 Zn 2.72
Sr: 0.9667 0.9667 0.0998  3 Zn 3.44, 3 Mg 3.44
Sr: 0.7834 0.7834 0.6499  3 Mg 3.44, 3 Zn 3.44
Zn: 0.5418 0.5418 0.3747  3 Mg 2.72

Computed properties:
Relative energy among the computed polymorphs ... 0.0415 eV/atom
Formation energy ... -0.0849 eV per atom

=====

Computed, not measured: MoPt2W at its PBEsol-relaxed geometry at the SCAN level of DFT.

Lattice parameters (Å, degrees): 2.7229 2.7229 8.1863 90.00 90.00 90.00
Last column: nearest neighbours and their distance in Å.
Sites, in units of the cell vectors:
Mo: 0.5000 0.5000 0.7597  4 Pt 2.70, 4 Mo 2.72, 4 W 2.92
W: 0.0000 0.0000 0.4913  4 Pt 2.71, 4 W 2.72, 4 Mo 2.92
Pt: 0.5000 0.5000 0.2577  4 W 2.71, 8 Pt 2.72-2.91
Pt: 0.0000 0.0000 0.9914  4 Mo 2.70, 8 Pt 2.72-2.91

Computed properties:
Relative energy among the computed polymorphs ... 0.1429 eV/atom
Formation energy ... -0.2438 eV per atom

=====

Computed, not measured: ScTcCl2 at its PBEsol-relaxed geometry at the SCAN level of DFT.

Lattice parameters (Å, degrees): 3.1341 3.8012 7.0660 105.47 90.00 90.00
Last column: nearest neighbours and their distance in Å.
Sites, in units of the cell vectors:
Tc: 0.5000 0.0330 0.6915  3 Cl 2.33-2.40
Cl: 0.5000 0.8578 0.3389  1 Tc 2.40
Sc: 0.0000 0.4498 0.5240  4 Tc 2.71, 4 Cl 2.77
Cl: 0.0000 0.1594 0.9456  2 Tc 2.33

Computed properties:
Formation energy from raw total energies ... -0.8098 eV/atom
Relative energy among the computed polymorphs ... 0.0000 eV/atom